(1)
First-principles (PBE) data for an optimized crystal structure of TbCdIn2, as listed in the Alexandria database.

Computed properties:
Its density is 8.17 g/cm3. The formation energy comes out at -0.2007 eV/atom. The value obtained for the calculated total energy is -2.956 eV/atom. The calculation puts the energy above the lowest structure with this stoichiometry at 0.1962 eV per atom. For the volume, the calculation gives 102 Å³/cell. The density of states at the Fermi level comes out at 3.88 states/eV/cell.

Unit cell a=3.651 b=3.651 c=7.637 alpha=90.00 beta=90.00 gamma=90.00
Atoms (fractional coordinates):
Tb 0.000 0.000 0.000
Cd 0.000 0.000 0.500
In 0.500 0.500 0.269
In 0.500 0.500 0.731

=====

(2)
First-principles (PBE) data for an optimized crystal structure of BaFe2Ru2, as listed in the Alexandria database.

Computed properties:
Its density is 7.52 g/cm3. The formation energy comes out at 0.5091 eV/atom. The value obtained for the calculated total energy is -6.971 eV/atom. The calculation puts the energy above the lowest structure with this stoichiometry at 0.0000 eV per atom. For the volume, the calculation gives 199 Å³/cell. The density of states at the Fermi level comes out at 14.24 states/eV/cell.

Unit cell a=4.269 b=4.269 c=10.933 alpha=90.00 beta=90.00 gamma=90.00
Atoms (fractional coordinates):
Ba 0.000 0.000 0.000
Ba 0.500 0.500 0.500
Fe 0.000 0.000 0.338
Fe 0.000 0.000 0.662
Fe 0.500 0.500 0.162
Fe 0.500 0.500 0.838
Ru 0.000 0.500 0.250
Ru 0.000 0.500 0.750
Ru 0.500 0.000 0.250
Ru 0.500 0.000 0.750

=====

(3)
First-principles (PBE) data for an optimized crystal structure of LiAl, as listed in the Alexandria database.

Computed properties:
Its density is 1.63 g/cm3. The formation energy comes out at -0.0353 eV/atom. The value obtained for the calculated total energy is -2.863 eV/atom. For the volume, the calculation gives 208 Å³/cell. The density of states at the Fermi level comes out at 7.14 states/eV/cell.

Unit cell a=2.933 b=2.933 c=27.868 alpha=90.00 beta=90.00 gamma=120.00
Atoms (fractional coordinates):
Li 0.000 0.000 0.122
Li 0.000 0.000 0.878
Li 0.333 0.667 0.544
Li 0.333 0.667 0.789
Li 0.667 0.333 0.211
Li 0.667 0.333 0.456
Al 0.000 0.000 0.373
Al 0.000 0.000 0.627
Al 0.333 0.667 0.040
Al 0.333 0.667 0.294
Al 0.667 0.333 0.706
Al 0.667 0.333 0.960

=====

(4)
First-principles (PBE) data for an optimized crystal structure of SmErSiAg, as listed in the Alexandria database.

Computed properties:
Its density is 8.13 g/cm3. The value obtained for the calculated total energy is -4.818 eV/atom. For the volume, the calculation gives 371 Å³/cell. The density of states at the Fermi level comes out at 13.37 states/eV/cell.

Unit cell a=7.184 b=7.184 c=7.184 alpha=90.00 beta=90.00 gamma=90.00
Atoms (fractional coordinates):
Sm 0.000 0.000 0.000
Sm 0.000 0.500 0.500
Sm 0.500 0.000 0.500
Sm 0.500 0.500 0.000
Er 0.000 0.000 0.500
Er 0.000 0.500 0.000
Er 0.500 0.000 0.000
Er 0.500 0.500 0.500
Si 0.250 0.250 0.750
Si 0.250 0.750 0.250
Si 0.750 0.250 0.250
Si 0.750 0.750 0.750
Ag 0.250 0.250 0.250
Ag 0.250 0.750 0.750
Ag 0.750 0.250 0.750
Ag 0.750 0.750 0.250

=====

(5)
First-principles (PBE) data for an optimized crystal structure of YBe2Os, as listed in the Alexandria database.

Computed properties:
Its density is 7.09 g/cm3. The formation energy comes out at 0.1036 eV/atom. The value obtained for the calculated total energy is -6.183 eV/atom. The calculation puts the energy above the lowest structure with this stoichiometry at 0.3219 eV per atom. For the volume, the calculation gives 278 Å³/cell. The density of states at the Fermi level comes out at 9.44 states/eV/cell.

Unit cell a=4.193 b=4.193 c=15.832 alpha=90.00 beta=90.00 gamma=90.00
Atoms (fractional coordinates):
Y 0.000 0.250 0.375
Y 0.000 0.750 0.625
Y 0.500 0.250 0.125
Y 0.500 0.750 0.875
Be 0.000 0.000 0.000
Be 0.000 0.500 0.000
Be 0.250 0.250 0.750
Be 0.250 0.750 0.250
Be 0.500 0.000 0.500
Be 0.500 0.500 0.500
Be 0.750 0.250 0.750
Be 0.750 0.750 0.250
Os 0.000 0.250 0.875
Os 0.000 0.750 0.125
Os 0.500 0.250 0.625
Os 0.500 0.750 0.375

=====

(6)
First-principles (PBE) data for an optimized crystal structure of LiCeHg3, as listed in the Alexandria database.

Computed properties:
Its density is 10.30 g/cm3. The formation energy comes out at -0.1839 eV/atom. The value obtained for the calculated total energy is -1.934 eV/atom. The calculation puts the energy above the lowest structure with this stoichiometry at 0.0367 eV per atom. For the volume, the calculation gives 121 Å³/cell. The density of states at the Fermi level comes out at 10.18 states/eV/cell.

Unit cell a=4.942 b=4.942 c=4.942 alpha=90.00 beta=90.00 gamma=90.00
Atoms (fractional coordinates):
Li 0.000 0.000 0.000
Ce 0.500 0.500 0.500
Hg 0.000 0.000 0.500
Hg 0.000 0.500 0.000
Hg 0.500 0.000 0.000

=====

(7)
First-principles (PBE) data for an optimized crystal structure of AcNdHgPd, as listed in the Alexandria database.

Computed properties:
Its density is 9.97 g/cm3. The formation energy comes out at -0.5364 eV/atom. The value obtained for the calculated total energy is -4.129 eV/atom. For the volume, the calculation gives 452 Å³/cell. The density of states at the Fermi level comes out at 13.08 states/eV/cell.

Unit cell a=7.675 b=7.675 c=7.675 alpha=90.00 beta=90.00 gamma=90.00
Atoms (fractional coordinates):
Ac 0.000 0.000 0.000
Ac 0.000 0.500 0.500
Ac 0.500 0.000 0.500
Ac 0.500 0.500 0.000
Nd 0.000 0.000 0.500
Nd 0.000 0.500 0.000
Nd 0.500 0.000 0.000
Nd 0.500 0.500 0.500
Hg 0.250 0.250 0.250
Hg 0.250 0.750 0.750
Hg 0.750 0.250 0.750
Hg 0.750 0.750 0.250
Pd 0.250 0.250 0.750
Pd 0.250 0.750 0.250
Pd 0.750 0.250 0.250
Pd 0.750 0.750 0.750

=====

(8)
First-principles (PBE) data for an optimized crystal structure of Pm3Pr5Sm4, as listed in the Alexandria database.

Computed properties:
Its density is 6.76 g/cm3. The formation energy comes out at 0.1993 eV/atom. The value obtained for the calculated total energy is -4.553 eV/atom. The calculation puts the energy above the lowest structure with this stoichiometry at 0.1866 eV per atom. For the volume, the calculation gives 427 Å³/cell. The density of states at the Fermi level comes out at 19.83 states/eV/cell.

Unit cell a=8.786 b=8.786 c=9.473 alpha=114.30 beta=114.30 gamma=40.58
Atoms (fractional coordinates):
Pm 0.000 0.000 0.000
Pm 0.292 0.292 0.773
Pm 0.708 0.708 0.227
Pr 0.075 0.075 0.700
Pr 0.173 0.173 0.387
Pr 0.500 0.500 0.000
Pr 0.827 0.827 0.613
Pr 0.925 0.925 0.300
Sm 0.286 0.286 0.122
Sm 0.418 0.418 0.558
Sm 0.582 0.582 0.442
Sm 0.714 0.714 0.878

=====

(9)
First-principles (PBE) data for an optimized crystal structure of BeVZn2, as listed in the Alexandria database.

Computed properties:
Its density is 5.77 g/cm3. The formation energy comes out at 0.4438 eV/atom. The value obtained for the calculated total energy is -3.404 eV/atom. For the volume, the calculation gives 220 Å³/cell. The density of states at the Fermi level comes out at 10.14 states/eV/cell.

Unit cell a=3.493 b=3.493 c=18.007 alpha=90.00 beta=90.00 gamma=90.00
Atoms (fractional coordinates):
Be 0.000 0.000 0.000
Be 0.000 0.500 0.250
Be 0.500 0.000 0.750
Be 0.500 0.500 0.500
V 0.000 0.000 0.500
V 0.000 0.500 0.750
V 0.500 0.000 0.250
V 0.500 0.500 0.000
Zn 0.242 0.250 0.125
Zn 0.250 0.742 0.375
Zn 0.250 0.758 0.875
Zn 0.258 0.250 0.625
Zn 0.742 0.750 0.625
Zn 0.750 0.242 0.875
Zn 0.750 0.258 0.375
Zn 0.758 0.750 0.125

=====

(10)
First-principles (PBE) data for an optimized crystal structure of LiAlRh2, as listed in the Alexandria database.

Computed properties:
Its density is 7.38 g/cm3. The formation energy comes out at -0.4650 eV/atom. The value obtained for the calculated total energy is -5.555 eV/atom. For the volume, the calculation gives 54 Å³/cell. The density of states at the Fermi level comes out at 1.88 states/eV/cell.

Unit cell a=2.754 b=3.893 c=5.070 alpha=90.00 beta=96.83 gamma=90.00
Atoms (fractional coordinates):
Li 0.000 0.000 0.000
Al 0.500 0.000 0.500
Rh 0.233 0.500 0.755
Rh 0.767 0.500 0.245